[1]
A geometry-optimized Sb2TePdC structure, computed with PBE.

Unit cell a=5.157 b=5.157 c=5.395 alpha=90.00 beta=90.00 gamma=90.00
Last column: magnetic moment on the atom in μB.
Element x y z (fractional)
Sb 0.000 0.500 0.000  -0.08
Sb 0.500 0.000 0.000  -0.08
C 0.500 0.500 0.500  0.74
Te 0.000 0.000 0.500  -0.05
Pd 0.000 0.000 0.000  -0.06

The energy is -3.5110 eV per atom. Its crystal system is tetragonal. The value obtained for the density of states at the Fermi level is 4.83 states/eV/cell. The uncorrected formation energy comes out at 1.65 eV per atom. The distance to the lowest polymorph of the same formula is 71.44 kJ/mol of atoms. The calculation puts the size of the total moment at 1.04 μB/cell. The mass density comes out at 5.664 g cm⁻³.

[2]
A geometry-optimized Nb5Pd4Au structure, computed with PBE.

Unit cell a=2.829 b=2.829 c=20.887 alpha=90.00 beta=90.00 gamma=90.00
Element x y z (fractional)
Nb 0.500 0.500 0.105
Nb 0.500 0.500 0.302
Nb 0.500 0.500 0.500
Nb 0.500 0.500 0.698
Nb 0.500 0.500 0.895
Pd 0.000 0.000 0.203
Pd 0.000 0.000 0.401
Pd 0.000 0.000 0.599
Pd 0.000 0.000 0.797
Au 0.000 0.000 0.000

The energy is -7.7081 eV per atom. Its crystal system is tetragonal. The value obtained for the density of states at the Fermi level is 7.20 states/eV/cell. Its formation enthalpy at 0 K is -268.4 meV per atom. The calculation puts the size of the total moment at 0.00 μB/cell. The mass density comes out at 10.801 g cm⁻³.

[3]
A geometry-optimized CrNi5H6 structure, computed with PBE.

Unit cell a=4.595 b=4.603 c=4.609 alpha=60.05 beta=80.48 gamma=70.66
Last column: magnetic moment on the atom in μB.
Element x y z (fractional)
Cr 0.000 0.000 0.000  2.65
Ni 0.500 0.163 0.674  0.13
Ni 0.000 0.333 0.333  0.17
Ni 0.500 0.500 0.000  0.09
Ni 0.000 0.667 0.667  0.17
Ni 0.500 0.837 0.326  0.13
H 0.744 0.087 0.347  -0.01
H 0.256 0.566 0.347  -0.01
H 0.259 0.262 0.000  -0.01
H 0.741 0.738 0.000  -0.01
H 0.744 0.434 0.653  -0.01
H 0.256 0.913 0.653  -0.01

The energy is -4.9174 eV per atom. Its crystal system is monoclinic. The value obtained for the density of states at the Fermi level is 5.74 states/eV/cell. The calculation puts the size of the total moment at 3.41 μB/cell. The mass density comes out at 7.325 g cm⁻³.

[4]
A geometry-optimized ErB4Rh4 structure, computed with PBE.

Unit cell a=5.328 b=5.328 c=7.448 alpha=90.00 beta=90.00 gamma=90.00
Element x y z (fractional)
Er 0.500 0.500 0.500
Er 0.000 0.000 0.000
B 0.169 0.500 0.148
B 0.831 0.500 0.148
B 0.000 0.669 0.648
B 0.331 0.000 0.352
B 0.669 0.000 0.352
B 0.500 0.831 0.852
B 0.500 0.169 0.852
B 0.000 0.331 0.648
Rh 0.749 0.500 0.854
Rh 0.251 0.500 0.854
Rh 0.000 0.751 0.354
Rh 0.249 0.000 0.646
Rh 0.751 0.000 0.646
Rh 0.500 0.749 0.146
Rh 0.500 0.251 0.146
Rh 0.000 0.249 0.354

The energy is -7.3286 eV per atom. Its crystal system is tetragonal. The value obtained for the density of states at the Fermi level is 8.76 states/eV/cell. The distance to the lowest polymorph of the same formula is 0.00 kJ/mol of atoms. Its formation enthalpy at 0 K is -586.5 meV per atom. The calculation puts the size of the total moment at 0.00 μB/cell. The mass density comes out at 9.771 g cm⁻³.

[5]
A geometry-optimized CdTcBr2 structure, computed with PBE.

Unit cell a=3.492 b=6.123 c=7.640 alpha=36.25 beta=90.00 gamma=90.00
Last column: magnetic moment on the atom in μB.
Element x y z (fractional)
Tc 0.000 0.000 0.500  2.96
Br 0.000 0.000 0.000  -0.01
Br 0.500 0.500 0.000  0.05
Cd 0.500 0.500 0.500  -0.06

The energy is -3.0986 eV per atom. Its crystal system is monoclinic. The value obtained for the density of states at the Fermi level is 2.19 states/eV/cell. The uncorrected formation energy comes out at 0.56 eV per atom. The distance to the lowest polymorph of the same formula is 51.17 kJ/mol of atoms. The calculation puts the size of the total moment at 3.28 μB/cell. The mass density comes out at 6.364 g cm⁻³.

[6]
A geometry-optimized RbAl4F12 structure, computed with PBE.

Unit cell a=6.595 b=6.595 c=6.595 alpha=109.47 beta=109.47 gamma=109.47
Element x y z (fractional)
Rb 0.000 0.000 0.000
Al 0.000 0.500 0.000
Al 0.500 0.000 0.000
Al 0.500 0.500 0.500
Al 0.000 0.000 0.500
F 0.749 0.252 0.001
F 0.252 0.502 0.251
F 0.999 0.251 0.748
F 0.252 0.001 0.749
F 0.001 0.749 0.252
F 0.748 0.498 0.749
F 0.502 0.251 0.252
F 0.498 0.749 0.748
F 0.748 0.999 0.251
F 0.749 0.748 0.498
F 0.251 0.252 0.502
F 0.251 0.748 0.999

The energy is -5.4213 eV per atom. Its crystal system is cubic. The value obtained for the density of states at the Fermi level is 2.59 states/eV/cell. The uncorrected formation energy comes out at -3.16 eV per atom. The calculation puts the size of the total moment at 0.00 μB/cell. The mass density comes out at 3.168 g cm⁻³.

[7]
A geometry-optimized YReCl2 structure, computed with PBE.

Unit cell a=9.378 b=9.378 c=9.378 alpha=21.49 beta=21.49 gamma=21.49
Element x y z (fractional)
Y 0.755 0.755 0.755
Re 0.503 0.503 0.503
Cl 0.021 0.021 0.021
Cl 0.222 0.222 0.222

The energy is -6.0386 eV per atom. Its crystal system is trigonal. The value obtained for the density of states at the Fermi level is 3.09 states/eV/cell. The uncorrected formation energy comes out at -0.39 eV per atom. The distance to the lowest polymorph of the same formula is 8.85 kJ/mol of atoms. The calculation puts the size of the total moment at 0.00 μB/cell. The mass density comes out at 5.926 g cm⁻³.

[8]
A geometry-optimized Np2UGe structure, computed with PBE.

Unit cell a=4.182 b=4.323 c=4.323 alpha=90.00 beta=90.00 gamma=90.00
Last column: magnetic moment on the atom in μB.
Element x y z (fractional)
Np 0.000 0.000 0.500  2.37
Np 0.000 0.500 0.000  2.37
Ge 0.500 0.500 0.500  -0.06
U 0.500 0.000 0.000  -0.07

The energy is -10.4398 eV per atom. Its crystal system is tetragonal. The value obtained for the density of states at the Fermi level is 11.30 states/eV/cell. Its formation enthalpy at 0 K is 6.9 meV per atom. The calculation puts the size of the total moment at 4.68 μB/cell. The mass density comes out at 16.673 g cm⁻³.

[9]
A geometry-optimized SrZn2Ag structure, computed with PBE.

Unit cell a=3.601 b=3.601 c=7.014 alpha=90.00 beta=90.00 gamma=89.99
Element x y z (fractional)
Ag 0.000 0.000 0.442
Sr 0.500 0.500 0.753
Zn 0.000 0.000 0.060
Zn 0.500 0.500 0.245

The energy is -1.8289 eV per atom. Its crystal system is tetragonal. The value obtained for the density of states at the Fermi level is 1.89 states/eV/cell. Its formation enthalpy at 0 K is -58.7 meV per atom. The calculation puts the size of the total moment at 0.00 μB/cell. The mass density comes out at 5.958 g cm⁻³.

[10]
A geometry-optimized ThSn2Sb structure, computed with PBE.

Unit cell a=3.712 b=3.712 c=10.887 alpha=80.18 beta=80.18 gamma=60.00
Element x y z (fractional)
Sb 0.500 0.500 0.500
Sn 0.100 0.100 0.701
Sn 0.900 0.900 0.299
Th 0.000 0.000 0.000

The energy is -4.6181 eV per atom. Its crystal system is trigonal. The value obtained for the density of states at the Fermi level is 3.28 states/eV/cell. The uncorrected formation energy comes out at 0.27 eV per atom. The distance to the lowest polymorph of the same formula is 71.29 kJ/mol of atoms. The calculation puts the size of the total moment at 0.00 μB/cell. The mass density comes out at 7.708 g cm⁻³.

> Among the records above, which one has the lowest mass density?

RbAl4F12

> Which value of size of the total moment does entry 3 give?

3.41 μB/cell

> Which of these has the highest energy?

SrZn2Ag

> What is the energy in the sixth record?

-5.4213 eV per atom